# 1
Entry from Alexandria via LeMat-Bulk: crystalline LiAs2Se at its relaxed geometry (GGA-PBE).

a b c (Å): 3.661 3.654 7.307
angles (deg): 60.11 90.00 90.00
Fractional coordinates of all 4 atoms:
Se 0.500 0.923 0.579
As 0.500 0.294 0.204
As 0.000 0.921 0.076
Li 0.000 0.362 0.640

Properties
Symmetry: Pm, No. 6

---

# 2
Entry from Alexandria via LeMat-Bulk: crystalline LiAs2Se at its relaxed geometry (GGA-PBE).

a b c (Å): 5.460 2.808 5.242
angles (deg): 90.03 90.00 90.00
Fractional coordinates of all 4 atoms:
Se 0.500 0.750 0.750
As 0.000 0.749 0.011
As 0.000 0.751 0.489
Li 0.500 0.250 0.250

Properties
Symmetry: Pmmm, No. 47

---

# 3
Entry from Alexandria via LeMat-Bulk: crystalline LiAs2Se at its relaxed geometry (GGA-PBE).

a b c (Å): 4.821 4.821 3.435
angles (deg): 90.00 90.00 108.68
Fractional coordinates of all 4 atoms:
As 0.500 0.500 0.000
Se 0.000 0.500 0.500
Li 0.500 0.000 0.500
As 0.000 0.000 0.000

Properties
Symmetry: Cmmm, No. 65

---

# 4
Entry from Alexandria via LeMat-Bulk: crystalline LiAsSe2 at its relaxed geometry (GGA-PBE).

a b c (Å): 5.631 5.551 6.867
angles (deg): 113.84 110.69 90.00
Fractional coordinates of all 8 atoms:
As 0.680 0.942 0.440
Li 0.009 0.768 0.008
Se 0.026 0.279 0.034
Se 0.778 0.537 0.525
As 0.180 0.498 0.440
Li 0.509 0.240 0.008
Se 0.526 0.755 0.034
Se 0.278 0.988 0.525

Properties
Symmetry: Cc, No. 9

---

# 5
Entry from Alexandria via LeMat-Bulk: crystalline LiAs2Se at its relaxed geometry (GGA-PBE).

a b c (Å): 7.407 7.407 7.407
angles (deg): 28.41 28.41 28.41
Fractional coordinates of all 4 atoms:
As 0.004 0.004 0.004
Se 0.750 0.750 0.750
Li 0.250 0.250 0.250
As 0.496 0.496 0.496

Properties
Symmetry: R-3m, No. 166

---

# 6
Entry from Alexandria via LeMat-Bulk: crystalline LiAsSe2 at its relaxed geometry (GGA-PBE).

a b c (Å): 3.504 4.687 4.687
angles (deg): 90.00 90.00 90.00
Fractional coordinates of all 4 atoms:
Se 0.000 0.000 0.000
Li 0.500 0.000 0.500
Se 0.000 0.500 0.500
As 0.500 0.500 0.000

Properties
Symmetry: P4/mmm, No. 123

---

Calculated calculated total energy, -4.016, -3.756, -3.670, -3.945, -3.634, -3.550 eV/atom (same order as the records).